This record from Alexandria via LeMat-Bulk describes a geometry-optimized Tl2GaSn6 structure. The functional is PBE.

The space group is P-3m1 (No. 164) and the conventional cell measures 6.8735, 6.8735 and 6.2719 Å, with angles of 90.00, 90.00 and 120.00 degrees. Symmetry generates all atoms from Tl at (0.3333, 0.6667, 0.3359), Ga at (0.0000, 0.0000, 0.5000) and Sn at (0.1772, 0.3545, 0.8175).

The total energy comes out at -31.45 eV/cell.